MnNiNO2 | PBE+U | optimized geometry

a = 3.7525 Å, b = 3.7525 Å, c = 3.7964 Å
α = 90.00°, β = 90.00°, γ = 90.00°
With the nearest neighbours (Å) after each atom.
Fractional coordinates of all 5 atoms:
Mn: 0.0000 0.0000 0.0000  4 O 1.88, 2 N 1.90
Ni: 0.5000 0.5000 0.5000  4 N 2.65, 8 O 2.67
N: 0.0000 0.0000 0.5000  2 Mn 1.90
O: 0.0000 0.5000 0.0000  2 Mn 1.88
O: 0.5000 0.0000 0.0000  2 Mn 1.88

MnNiN2O | PBE+U | optimized geometry

a = 3.7209 Å, b = 3.7209 Å, c = 3.9688 Å
α = 90.00°, β = 90.00°, γ = 90.00°
With the nearest neighbours (Å) after each atom.
Fractional coordinates of all 5 atoms:
Mn: 0.0000 0.0000 0.0000  4 N 1.86, 2 O 1.98
Ni: 0.5000 0.5000 0.5000  4 O 2.63, 8 N 2.72
N: 0.0000 0.5000 0.0000  2 Mn 1.86
N: 0.5000 0.0000 0.0000  2 Mn 1.86
O: 0.0000 0.0000 0.5000  2 Mn 1.98

MnNiN2O | PBE+U | optimized geometry

a = 3.7264 Å, b = 3.7264 Å, c = 3.8022 Å
α = 90.00°, β = 90.00°, γ = 90.00°
With the nearest neighbours (Å) after each atom.
Fractional coordinates of all 5 atoms:
Mn: 0.0000 0.0000 0.0000  4 O 2.63, 8 N 2.66
Ni: 0.5000 0.5000 0.5000  4 N 1.86, 2 O 1.90
N: 0.0000 0.5000 0.5000  2 Ni 1.86
N: 0.5000 0.0000 0.5000  2 Ni 1.86
O: 0.5000 0.5000 0.0000  2 Ni 1.90

Number 1: electronic total energy -5.473 eV/atom. Number 2: electronic total energy -5.397 eV/atom. Number 3: electronic total energy -5.074 eV/atom.